# VRh | the Alexandria database | GGA-PBE | relaxed
data_VRh
_space_group_name_H-M_alt 'P m -3 n'
_space_group_IT_number 223
_space_group_name_Hall '-P 4n 2 3'
_cell_length_a 6.699
_cell_length_b 6.699
_cell_length_c 6.699
_cell_angle_alpha 90.00
_cell_angle_beta 90.00
_cell_angle_gamma 90.00
loop_
_atom_site_label
_atom_site_fract_x
_atom_site_fract_y
_atom_site_fract_z
V1 0.000 0.250 0.500
Rh1 0.000 0.500 0.250
# **Density of states at the Fermi level**: 2.82 states/eV/f.u.
# **ρ**: 5.10 g/cm3
# **Energy**: -7.220 eV/atom
# **ΔE_f**: 1.02 eV/atom

# Re2AsPtO | the Alexandria database | GGA-PBE | relaxed
data_Re2AsPtO
_space_group_name_H-M_alt 'P 4/m m m'
_space_group_IT_number 123
_space_group_name_Hall '-P 4 2'
_cell_length_a 4.761
_cell_length_b 4.761
_cell_length_c 3.641
_cell_angle_alpha 90.00
_cell_angle_beta 90.00
_cell_angle_gamma 90.00
loop_
_atom_site_label
_atom_site_fract_x
_atom_site_fract_y
_atom_site_fract_z
Re1 0.000 0.500 0.000
As1 0.000 0.000 0.000
Pt1 0.500 0.500 0.500
O1 0.000 0.000 0.500
# **Density of states at the Fermi level**: 4.67 states/eV/f.u.
# **ρ**: 13.25 g/cm3
# **Energy**: -6.858 eV/atom

# PaO3F | the Alexandria database | GGA-PBE | relaxed
data_PaO3F
_space_group_name_H-M_alt 'P m -3 m'
_space_group_IT_number 221
_space_group_name_Hall '-P 4 2 3'
_cell_length_a 4.284
_cell_length_b 4.284
_cell_length_c 4.284
_cell_angle_alpha 90.00
_cell_angle_beta 90.00
_cell_angle_gamma 90.00
loop_
_atom_site_label
_atom_site_fract_x
_atom_site_fract_y
_atom_site_fract_z
Pa1 0.000 0.000 0.000
O1 0.000 0.000 0.500
F1 0.500 0.500 0.500
# **Density of states at the Fermi level**: 5.82 states/eV/f.u.
# **ρ**: 6.29 g/cm3
# **Energy**: -7.427 eV/atom

# ZnNi2PAu | the Alexandria database | GGA-PBE | relaxed
data_ZnNi2PAu
_space_group_name_H-M_alt 'P 4/m m m'
_space_group_IT_number 123
_space_group_name_Hall '-P 4 2'
_cell_length_a 4.362
_cell_length_b 4.362
_cell_length_c 4.680
_cell_angle_alpha 90.00
_cell_angle_beta 90.00
_cell_angle_gamma 90.00
loop_
_atom_site_label
_atom_site_fract_x
_atom_site_fract_y
_atom_site_fract_z
Zn1 0.000 0.000 0.000
Ni1 0.000 0.500 0.000
P1 0.500 0.500 0.500
Au1 0.000 0.000 0.500
# **Density of states at the Fermi level**: 4.49 states/eV/f.u.
# **ρ**: 7.66 g/cm3
# **Energy**: -3.319 eV/atom
# **ΔE_f**: 0.99 eV/atom

# NbCoRe2H | the Alexandria database | GGA-PBE | relaxed
data_NbCoRe2H
_space_group_name_H-M_alt 'P 4/m m m'
_space_group_IT_number 123
_space_group_name_Hall '-P 4 2'
_cell_length_a 3.958
_cell_length_b 3.958
_cell_length_c 3.861
_cell_angle_alpha 90.00
_cell_angle_beta 90.00
_cell_angle_gamma 90.00
loop_
_atom_site_label
_atom_site_fract_x
_atom_site_fract_y
_atom_site_fract_z
Nb1 0.000 0.000 0.000
Co1 0.500 0.500 0.000
Re1 0.000 0.500 0.500
H1 0.500 0.500 0.500
# **Density of states at the Fermi level**: 4.13 states/eV/f.u.
# **ρ**: 14.42 g/cm3
# **Energy**: -9.048 eV/atom

# HgPtPb3 | the Alexandria database | GGA-PBE | relaxed
data_HgPtPb3
_space_group_name_H-M_alt 'C 1 2/m 1'
_space_group_IT_number 12
_cell_length_a 11.756
_cell_length_b 5.426
_cell_length_c 9.233
_cell_angle_alpha 90.00
_cell_angle_beta 109.43
_cell_angle_gamma 90.00
loop_
_space_group_symop_operation_xyz
'x,y,z'
'-x,-y,-z'
'-x,y,-z'
'x,-y,z'
'x+1/2,y+1/2,z'
'-x+1/2,-y+1/2,-z'
'-x+1/2,y+1/2,-z'
'x+1/2,-y+1/2,z'
loop_
_atom_site_label
_atom_site_fract_x
_atom_site_fract_y
_atom_site_fract_z
Hg1 0.087 0.000 0.407
Pt1 0.091 0.500 0.932
Pb1 0.139 0.500 0.650
Pb2 0.143 0.000 0.952
Pb3 0.154 0.500 0.264
# **Energy above the most stable polymorph in this dataset**: 2 meV/atom
# **Density of states at the Fermi level**: 2.15 states/eV/f.u.
# **ρ**: 12.17 g/cm3
# **Energy**: -3.562 eV/atom
# **ΔE_f**: -0.07 eV/atom